Computed, not measured: a relaxed structure of BaRh at the PBE-GGA level of DFT.

```
BaRh
1.0
5.531 -2.381 0.000
5.531 2.381 0.000
-5.510 0.000 6.370
Ba Rh
3 3
direct
0.000 0.000 0.000
0.560 0.560 0.709
0.709 0.709 0.416
0.226 0.226 0.711
0.350 0.350 0.122
0.940 0.940 0.300
```

## Properties
symmetry	No. 8
total energy	-4.69	eV per atom
total moment	0.00	μB/cell
density of states at the Fermi level	1.45	states/eV/f.u.

=====

Computed, not measured: a relaxed structure of Ba5Rh at the PBE-GGA level of DFT.

```
Ba5Rh
1.0
7.391 -2.072 0.000
7.391 2.072 0.000
-4.172 0.000 9.891
Ba Rh
5 1
direct
0.000 0.000 0.000
0.062 0.062 0.382
0.391 0.391 0.606
0.720 0.720 0.829
0.782 0.782 0.212
0.391 0.391 0.107
```

## Properties
symmetry	No. 8
total energy	-2.84	eV per atom
total moment	0.00	μB/cell
density of states at the Fermi level	7.32	states/eV/f.u.

=====

Computed, not measured: a relaxed structure of Ba2Rh at the PBE-GGA level of DFT.

```
Ba2Rh
1.0
2.233 -9.694 0.000
2.233 9.694 0.000
0.000 0.000 6.317
Ba Rh
4 2
direct
0.082 0.918 0.750
0.300 0.700 0.750
0.700 0.300 0.250
0.918 0.082 0.250
0.320 0.680 0.250
0.680 0.320 0.750
```

## Properties
symmetry	No. 63
total energy	-3.82	eV per atom
total moment	0.00	μB/cell
density of states at the Fermi level	2.72	states/eV/f.u.

=====

Formation energy from the elements / eV per atom: -0.052 -0.017 -0.087